ZrNi2Te | PBE | relaxed

abc: 6.4540 6.4540 6.4540
angles: 90.00 90.00 90.00
Space group F-43m (No. 216)
One atom of each set of equivalent atoms:
Zr: 0.0000 0.0000 0.0000 [4 per cell]
Ni: 0.0000 0.0000 0.5000 [4 per cell]
Ni: 0.2500 0.2500 0.2500 [4 per cell]
Te: 0.2500 0.2500 0.7500 [4 per cell]

Calculated values
E_form (uncorrected), meV per atom: -61
ρ, Mg/m³: 8.31
Calculated volume, Å³/f.u.: 67.21